## PrNd2YTl2 (PBE-GGA)

Data for a relaxed structure of PrNd2YTl2.

Lattice parameters (Å, degrees): 5.249 6.946 10.286 90.00 90.00 90.00
Atoms (fractional coordinates):
Pr (0.000, 0.961, 0.457)
Pr (0.000, 0.461, 0.543)
Nd (0.500, 0.053, 0.045)
Nd (0.000, 0.329, 0.182)
Nd (0.500, 0.553, 0.955)
Nd (0.000, 0.829, 0.818)
Y (0.500, 0.182, 0.688)
Y (0.500, 0.682, 0.312)
Tl (0.000, 0.296, 0.858)
Tl (0.500, 0.223, 0.370)
Tl (0.000, 0.796, 0.142)
Tl (0.500, 0.723, 0.630)

energy relative to the elements: -0.28 eV per atom
space group: Pmc2_1
density of states at the Fermi level: 13.9 states/eV/cell
magnetic moment: 0.00 μB/f.u.